Entry 1:
Compound: KTlCd2Pt
Source: the Alexandria database
Functional: PBE
Structure: relaxed

The structure in POSCAR format:
```
KTlCd2Pt
1.0
5.3584 0.0000 0.0000
0.0000 5.3584 0.0000
0.0000 0.0000 5.2863
K Tl Cd Pt
1 1 2 1
Cartesian
0.0000 0.0000 0.0000
2.6792 2.6792 0.0000
0.0000 2.6792 2.6432
2.6792 0.0000 2.6432
2.6792 2.6792 2.6432
```

**Calculated density**: 7.26 g/cm³
**Magnetic moment**: 0.0 μB/f.u.
**N(E_F)**: 0.353 states/eV/atom
**E_tot**: -2.477 eV per atom

Entry 2:
Compound: Sr2FeI2
Source: the Alexandria database
Functional: PBE
Structure: relaxed

The structure in POSCAR format:
```
Sr2FeI2
1.0
-2.6817 2.6817 7.8160
2.6817 -2.6817 7.8160
2.6817 2.6817 -7.8160
Sr Fe I
2 1 2
Cartesian
0.0000 0.0000 1.9365
0.0000 0.0000 13.6956
0.0000 0.0000 7.8160
2.6817 0.0000 3.9080
0.0000 2.6817 3.9080
```

**Calculated density**: 3.58 g/cm³
**Magnetic moment**: 3.3 μB/f.u.
**Energy relative to the elements, uncorrected**: -0.9 eV/f.u.
**Energy above the most stable polymorph in this dataset**: 0.075 eV/atom
**N(E_F)**: 0.814 states/eV/atom

Entry 3:
Compound: TaAuS2N
Source: the Alexandria database
Functional: PBE
Structure: relaxed

The structure in POSCAR format:
```
TaAuS2N
1.0
4.9286 0.0000 0.0000
0.0000 4.9286 0.0000
0.0000 0.0000 3.8925
Ta Au S N
1 1 2 1
Cartesian
0.0000 0.0000 0.0000
2.4643 2.4643 1.9462
0.0000 2.4643 0.0000
2.4643 0.0000 0.0000
0.0000 0.0000 1.9462
```

**Calculated density**: 8.01 g/cm³
**Magnetic moment**: 0.0 μB/f.u.
**Energy relative to the elements, uncorrected**: 1.0 eV/f.u.
**Energy above the most stable polymorph in this dataset**: 0.000 eV/atom
**N(E_F)**: 1.216 states/eV/atom

Entry 4:
Compound: CsLi2ZnSn
Source: the Alexandria database
Functional: PBE
Structure: relaxed

The structure in POSCAR format:
```
CsLi2ZnSn
1.0
5.4412 0.0000 0.0000
0.0000 5.4412 0.0000
0.0000 0.0000 5.6428
Cs Li Zn Sn
1 2 1 1
Cartesian
0.0000 0.0000 0.0000
0.0000 2.7206 2.8214
2.7206 0.0000 2.8214
2.7206 2.7206 0.0000
2.7206 2.7206 2.8214
```

**Calculated density**: 3.29 g/cm³
**Magnetic moment**: 0.0 μB/f.u.
**N(E_F)**: 0.294 states/eV/atom
**E_tot**: -2.077 eV per atom

Entry 5:
Compound: TlCd2Sb2
Source: the Alexandria database
Functional: PBE
Structure: relaxed

The structure in POSCAR format:
```
TlCd2Sb2
1.0
-2.3949 2.3949 6.5424
2.3949 -2.3949 6.5424
2.3949 2.3949 -6.5424
Tl Cd Sb
1 2 2
Cartesian
0.0000 0.0000 0.0000
0.0000 0.0000 5.1705
0.0000 0.0000 7.9142
2.3949 0.0000 3.2712
0.0000 2.3949 3.2712
```

**Calculated density**: 7.44 g/cm³
**Magnetic moment**: 0.0 μB/f.u.
**Energy relative to the elements, uncorrected**: 0.3 eV/f.u.
**N(E_F)**: 0.557 states/eV/atom

Entry 6:
Compound: BaCuPb2
Source: the Alexandria database
Functional: PBE
Structure: relaxed

The structure in POSCAR format:
```
BaCuPb2
1.0
3.9014 0.0000 0.0000
0.0000 3.9014 0.0000
0.0000 0.0000 7.9410
Ba Cu Pb
1 1 2
Cartesian
0.0000 0.0000 0.0000
1.9507 1.9507 2.3111
0.0000 0.0000 3.4856
1.9507 1.9507 5.4097
```

**Calculated density**: 8.45 g/cm³
**Magnetic moment**: 0.0 μB/f.u.
**N(E_F)**: 0.433 states/eV/atom
**E_tot**: -3.398 eV per atom

Entry 7:
Compound: KSbBr2
Source: the Alexandria database
Functional: PBE
Structure: relaxed

The structure in POSCAR format:
```
KSbBr2
1.0
2.0700 1.1951 9.8172
-2.0700 1.1951 9.8172
0.0000 -2.3903 9.8172
K Sb Br
1 1 2
Cartesian
0.0000 0.0000 0.0000
0.0000 0.0000 23.1209
0.0000 0.0000 7.9940
0.0000 0.0000 15.0713
```

**Calculated density**: 3.65 g/cm³
**Magnetic moment**: 0.0 μB/f.u.
**Energy relative to the elements, uncorrected**: -1.4 eV/f.u.
**Energy above the most stable polymorph in this dataset**: 0.418 eV/atom

Entry 8:
Compound: CdCuOs2
Source: the Alexandria database
Functional: PBE
Structure: relaxed

The structure in POSCAR format:
```
CdCuOs2
1.0
2.7997 0.0000 0.0000
0.0000 3.7315 0.0000
0.0000 0.0000 5.9181
Cd Cu Os
1 1 2
Cartesian
0.0000 0.0000 0.0000
1.3998 1.8657 1.4367
0.0000 0.0000 2.9409
1.3998 1.8657 4.0615
```

**Calculated density**: 14.94 g/cm³
**Magnetic moment**: 0.0 μB/f.u.
**N(E_F)**: 0.554 states/eV/atom
**E_tot**: -6.539 eV per atom

Entry 9:
Compound: CsYMo2
Source: the Alexandria database
Functional: PBE
Structure: relaxed

The structure in POSCAR format:
```
CsYMo2
1.0
0.0000 3.5550 3.5550
3.5550 0.0000 3.5550
3.5550 3.5550 0.0000
Cs Y Mo
1 1 2
Cartesian
0.0000 0.0000 0.0000
3.5550 3.5550 3.5550
1.7775 1.7775 1.7775
5.3325 5.3325 5.3325
```

**Calculated density**: 7.65 g/cm³
**Magnetic moment**: 0.0 μB/f.u.
**Energy above the most stable polymorph in this dataset**: 0.000 eV/atom
**N(E_F)**: 1.313 states/eV/atom

Entry 10:
Compound: Tb5PmHo7
Source: the Alexandria database
Functional: PBE
Structure: relaxed

The structure in POSCAR format:
```
Tb5PmHo7
1.0
-3.3350 5.5341 5.7749
3.3350 -5.5341 5.7749
3.3350 5.5341 -5.7749
Tb Pm Ho
5 1 7
Cartesian
0.0000 0.0000 0.0000
1.5506 3.0033 0.0308
1.7843 -2.5307 5.8057
1.5506 8.0648 0.0308
1.7843 2.5307 5.8057
3.3350 0.0000 3.5001
3.3350 3.6618 -2.8634
0.0000 1.8723 2.9114
0.0000 0.0000 5.8081
3.3350 3.6645 2.9014
0.0000 5.5341 2.2431
0.0000 1.8695 8.6763
0.0000 5.5341 5.7648
```

**Calculated density**: 8.16 g/cm³
**Magnetic moment**: 0.0 μB/f.u.
**Energy above the most stable polymorph in this dataset**: 0.000 eV/atom
**N(E_F)**: 1.744 states/eV/atom

Entry 11:
Compound: Hf4GeSb
Source: the Alexandria database
Functional: PBE
Structure: relaxed

The structure in POSCAR format:
```
Hf4GeSb
1.0
3.8974 -6.2028 0.0000
3.8974 6.2028 0.0000
-1.9191 0.0000 5.1994
Hf Ge Sb
8 2 2
Cartesian
1.3402 3.8679 4.9127
1.0695 1.2072 3.3312
3.5758 3.8679 2.8864
2.0291 -1.2072 0.7315
3.8465 1.2072 4.4679
2.2998 -3.8679 2.3130
4.8061 -1.2072 1.8682
4.5354 -3.8679 0.2867
3.4176 6.1592 1.2999
2.4580 -6.1592 3.8996
3.4176 1.3662 1.2999
2.4580 -1.3662 3.8996
```

**Calculated density**: 12.00 g/cm³
**Magnetic moment**: 0.0 μB/f.u.
**Energy relative to the elements, uncorrected**: -2.7 eV/f.u.
**Energy above the most stable polymorph in this dataset**: 0.040 eV/atom
**N(E_F)**: 0.527 states/eV/atom

Entry 12:
Compound: ReMo2Ir
Source: the Alexandria database
Functional: PBE
Structure: relaxed

The structure in POSCAR format:
```
ReMo2Ir
1.0
2.7708 0.0000 0.0000
0.0000 3.9363 0.0000
0.0000 0.0000 5.6008
Re Mo Ir
1 2 1
Cartesian
0.0000 0.0000 0.0000
1.3854 1.9681 1.3956
1.3854 1.9681 4.2052
0.0000 0.0000 2.8004
```

**Calculated density**: 15.50 g/cm³
**Magnetic moment**: 0.0 μB/f.u.
**Energy above the most stable polymorph in this dataset**: 0.035 eV/atom
**N(E_F)**: 1.057 states/eV/atom